## RbCrPd2 (PBE)

Data for RbCrPd2 after structural relaxation.

Lattice parameters (Å, degrees): 8.6092 8.6092 8.6092 142.81 142.81 53.61
Last column: nearest neighbours and their distance in Å.
Fractional coordinates of all 8 atoms:
Rb 0.3750 0.6250 0.7500  8 Pd 3.62, 4 Cr 3.88
Rb 0.6250 0.3750 0.2500  8 Pd 3.62, 4 Cr 3.88
Cr 0.1250 0.8750 0.2500  4 Pd 2.36
Cr 0.8750 0.1250 0.7500  4 Pd 2.36
Pd 0.0000 0.0000 0.0000  2 Cr 2.36
Pd 0.0000 0.0000 0.5000  2 Cr 2.36
Pd 0.0000 0.5000 0.0000  2 Cr 2.36
Pd 0.5000 0.0000 0.5000  2 Cr 2.36

Calculated values
The formation energy comes out at 3.34 eV per formula unit. Its space-group type is I4_1/amd (141). As for the calculated density: 5.0 Mg/m³. Its total magnetic moment is 0.0 Bohr magnetons per cell.

## Rb2CrPdS4 (PBE)

Data for Rb2CrPdS4 after structural relaxation.

Lattice parameters (Å, degrees): 13.6346 12.1243 7.3483 85.14 62.38 32.48
Last column: nearest neighbours and their distance in Å.
Fractional coordinates of all 16 atoms:
Rb 0.0536 0.0536 0.6964  8 S 3.35-3.66
Rb 0.3036 0.3036 0.9464  8 S 3.35-3.66
Rb 0.6964 0.6964 0.0536  8 S 3.35-3.66
Rb 0.9464 0.9464 0.3036  8 S 3.35-3.66
Cr 0.1250 0.1250 0.1250  4 S 2.15
Cr 0.8750 0.8750 0.8750  4 S 2.15
Pd 0.3750 0.3750 0.3750  4 S 2.39
Pd 0.6250 0.6250 0.6250  4 S 2.39
S 0.0591 0.2980 0.3783  1 Cr 2.15, 1 Pd 2.39
S 0.2354 0.6217 0.7020  1 Cr 2.15, 1 Pd 2.39
S 0.2980 0.0591 0.7646  1 Cr 2.15, 1 Pd 2.39
S 0.3783 0.7646 0.0591  1 Cr 2.15, 1 Pd 2.39
S 0.6217 0.2354 0.9409  1 Cr 2.15, 1 Pd 2.39
S 0.7020 0.9409 0.2354  1 Cr 2.15, 1 Pd 2.39
S 0.7646 0.3783 0.2980  1 Cr 2.15, 1 Pd 2.39
S 0.9409 0.7020 0.6217  1 Cr 2.15, 1 Pd 2.39

Calculated values
Its space-group type is Fddd (70). As for the calculated density: 3.4 Mg/m³. Its total magnetic moment is 0.0 Bohr magnetons per cell. The final energy comes out at -0.367 Ry/atom.

## RbCrPdS2 (PBE)

Data for RbCrPdS2 after structural relaxation.

Lattice parameters (Å, degrees): 7.5663 7.5663 5.4406 90.00 90.00 136.81
Last column: nearest neighbours and their distance in Å.
Fractional coordinates of all 10 atoms:
Rb 0.2500 0.7500 0.7857  8 S 3.23-3.56
Rb 0.7500 0.2500 0.2143  8 S 3.23-3.56
Cr 0.2500 0.2500 0.5000  4 S 2.25
Cr 0.7500 0.7500 0.5000  4 S 2.25
Pd 0.0000 0.0000 0.0000  2 S 2.30
Pd 0.5000 0.5000 0.0000  2 S 2.30
S 0.1055 0.8945 0.3238  2 Cr 2.25, 1 Pd 2.30
S 0.3945 0.6055 0.3238  2 Cr 2.25, 1 Pd 2.30
S 0.6055 0.3945 0.6762  2 Cr 2.25, 1 Pd 2.30
S 0.8945 0.1055 0.6762  2 Cr 2.25, 1 Pd 2.30

Calculated values
Its space-group type is Cmme (67). As for the calculated density: 4.8 Mg/m³. Its total magnetic moment is 2.1 Bohr magnetons per cell. The final energy comes out at -0.407 Ry/atom.

## RbCrSbPd2 (PBE)

Data for RbCrSbPd2 after structural relaxation.

Lattice parameters (Å, degrees): 4.7706 4.7706 5.2428 90.00 90.00 90.00
Last column: nearest neighbours and their distance in Å.
Fractional coordinates of all 5 atoms:
Rb 0.0000 0.0000 0.0000  2 Cr 2.62
Cr 0.0000 0.0000 0.5000  4 Pd 2.39, 2 Rb 2.62
Sb 0.5000 0.5000 0.0000  4 Rb 3.37, 8 Pd 3.54
Pd 0.0000 0.5000 0.5000  2 Cr 2.39
Pd 0.5000 0.0000 0.5000  2 Cr 2.39

Calculated values
Its space-group type is P4/mmm (123). As for the calculated density: 6.6 Mg/m³. Its total magnetic moment is 0.0 Bohr magnetons per cell. The final energy comes out at -0.286 Ry/atom.

## Rb2CrPdSe4 (PBE)

Data for Rb2CrPdSe4 after structural relaxation.

Lattice parameters (Å, degrees): 14.0808 12.5272 7.5870 85.10 62.43 32.47
Last column: nearest neighbours and their distance in Å.
Fractional coordinates of all 16 atoms:
Rb 0.0556 0.0556 0.6944  8 Se 3.45-3.74
Rb 0.3056 0.3056 0.9444  8 Se 3.45-3.74
Rb 0.6944 0.6944 0.0556  8 Se 3.45-3.74
Rb 0.9444 0.9444 0.3056  8 Se 3.45-3.74
Cr 0.1250 0.1250 0.1250  4 Se 2.29
Cr 0.8750 0.8750 0.8750  4 Se 2.29
Pd 0.3750 0.3750 0.3750  4 Se 2.50
Pd 0.6250 0.6250 0.6250  4 Se 2.50
Se 0.0589 0.3024 0.3841  1 Cr 2.29, 1 Pd 2.50
Se 0.2453 0.6159 0.6976  1 Cr 2.29, 1 Pd 2.50
Se 0.3024 0.0589 0.7547  1 Cr 2.29, 1 Pd 2.50
Se 0.3841 0.7547 0.0589  1 Cr 2.29, 1 Pd 2.50
Se 0.6159 0.2453 0.9411  1 Cr 2.29, 1 Pd 2.50
Se 0.6976 0.9411 0.2453  1 Cr 2.29, 1 Pd 2.50
Se 0.7547 0.3841 0.3024  1 Cr 2.29, 1 Pd 2.50
Se 0.9411 0.6976 0.6159  1 Cr 2.29, 1 Pd 2.50

Calculated values
Its space-group type is Fddd (70). As for the calculated density: 4.4 Mg/m³. Its total magnetic moment is 0.0 Bohr magnetons per cell. The final energy comes out at -0.336 Ry/atom.

## RbCrSnPd2 (PBE)

Data for RbCrSnPd2 after structural relaxation.

Lattice parameters (Å, degrees): 5.1408 5.1408 5.2863 90.00 90.00 90.00
Last column: nearest neighbours and their distance in Å.
Fractional coordinates of all 5 atoms:
Rb 0.0000 0.0000 0.0000  4 Pd 2.57, 2 Cr 2.64
Cr 0.0000 0.0000 0.5000  2 Rb 2.64
Sn 0.5000 0.5000 0.5000  4 Cr 3.64, 8 Pd 3.69
Pd 0.0000 0.5000 0.0000  2 Rb 2.57
Pd 0.5000 0.0000 0.0000  2 Rb 2.57

Calculated values
The formation energy comes out at 7.61 eV per formula unit. Its space-group type is P4/mmm (123). As for the calculated density: 5.6 Mg/m³. Its total magnetic moment is 4.7 Bohr magnetons per cell.

> Number 5 is which compound?

Rb2CrPdSe4